No. 1
Density functional theory data (PBE) for PrDyErHg after structural relaxation.

Results
density of states at the Fermi level: 1.2240 states/eV/atom
SG: P4mm
energy of formation: -0.23 eV per atom

a b c (Å): 3.6513 3.6513 8.8760
angles (deg): 90.00 90.00 90.00
With the nearest neighbours (Å) after each atom.
Fractional positions:
Pr  0.0000  0.0000  0.0730  4 Er 3.61, 4 Dy 3.63, 4 Pr 3.65
Dy  0.5000  0.5000  0.7863  4 Hg 3.23
Hg  0.0000  0.0000  0.5677  4 Er 3.18, 4 Dy 3.23
Er  0.5000  0.5000  0.3577  4 Hg 3.18


No. 2
Density functional theory data (PBE) for LiCoSbTe2 after structural relaxation.

Results
density of states at the Fermi level: 1.0112 states/eV/atom
E_form (uncorrected): 0.1060 eV/atom
SG: P4/mmm

a b c (Å): 5.3422 5.3422 4.6886
angles (deg): 90.00 90.00 90.00
With the nearest neighbours (Å) after each atom.
Fractional positions:
Sb  0.0000  0.0000  0.5000  2 Co 2.34
Te  0.5000  0.0000  0.0000  2 Co 2.67
Te  0.0000  0.5000  0.0000  2 Co 2.67
Li  0.5000  0.5000  0.5000  8 Te 3.55, 4 Sb 3.78
Co  0.0000  0.0000  0.0000  2 Sb 2.34


No. 3
Density functional theory data (PBE) for Te4MoW after structural relaxation.

Results
E_form (uncorrected): -0.1821 eV/atom
SG: P-6m2

a b c (Å): 3.5555 3.5555 14.9672
angles (deg): 90.00 90.00 120.00
With the nearest neighbours (Å) after each atom.
Fractional positions:
Te  0.6667  0.3333  0.1725  3 W 2.74
Te  0.3333  0.6667  0.6718  3 Mo 2.74
Te  0.6667  0.3333  0.9295  3 W 2.74
Te  0.3333  0.6667  0.4299  3 Mo 2.74
Mo  0.6667  0.3333  0.5509  6 Te 2.74
W  0.3333  0.6667  0.0510  6 Te 2.74


No. 4
Density functional theory data (PBE) for YCoSiC after structural relaxation.

Results
density of states at the Fermi level: 0.1961 states/eV/atom
E_form (uncorrected): -0.5135 eV/atom
SG: P4/nmm

a b c (Å): 3.6933 3.6933 8.4881
angles (deg): 90.00 90.00 90.00
With the nearest neighbours (Å) after each atom.
Fractional positions:
Co  0.0000  0.0000  0.5000  4 Si 2.25
Co  0.5000  0.5000  0.5000  4 Si 2.25
Y  0.5000  0.0000  0.1475  5 C 2.40-2.61
Y  0.0000  0.5000  0.8525  5 C 2.40-2.61
Si  0.5000  0.0000  0.6517  1 C 1.81
Si  0.0000  0.5000  0.3483  1 C 1.81
C  0.0000  0.5000  0.1351  1 Si 1.81
C  0.5000  0.0000  0.8649  1 Si 1.81


No. 5
Density functional theory data (PBE) for PmGe3Ir2 after structural relaxation.

Results
density of states at the Fermi level: 0.5523 states/eV/atom
SG: C2/m
energy of formation: -0.52 eV per atom

a b c (Å): 4.1888 7.7171 8.0259
angles (deg): 112.87 105.13 90.00
With the nearest neighbours (Å) after each atom.
Fractional positions:
Ge  0.9843  0.6457  0.9686  1 Ge 2.49, 3 Ir 2.49-2.62
Ge  0.3307  0.5711  0.6615  4 Ir 2.53-2.59
Ge  0.3568  0.2199  0.7136  3 Ir 2.44-2.56
Ge  0.6432  0.7801  0.2864  3 Ir 2.44-2.56
Ge  0.0157  0.3543  0.0314  1 Ge 2.49, 3 Ir 2.49-2.62
Ge  0.6693  0.4289  0.3385  4 Ir 2.53-2.59
Ir  0.1828  0.6355  0.3655  6 Ge 2.53-2.62
Ir  0.8172  0.3645  0.6345  6 Ge 2.53-2.62
Ir  0.5034  0.1721  0.0068  4 Ge 2.44-2.54, 1 Ir 2.62
Ir  0.4966  0.8279  0.9932  4 Ge 2.44-2.54, 1 Ir 2.62
Pm  0.8568  0.9004  0.7136  7 Ge 3.06-3.37, 6 Ir 3.18-3.38
Pm  0.1432  0.0996  0.2864  7 Ge 3.06-3.37, 6 Ir 3.18-3.38


No. 6
Density functional theory data (PBE) for Pu8SnRh6 after structural relaxation.

Results
density of states at the Fermi level: 2.8602 states/eV/atom
SG: R-3
energy of formation: -0.20 eV per atom

a b c (Å): 5.8823 5.8823 10.3350
angles (deg): 73.47 73.47 60.00
With the nearest neighbours (Å) after each atom.
Fractional positions:
Pu  0.5211  0.1903  0.4307  3 Pu 2.38-2.39, 1 Rh 2.53
Pu  0.3036  0.3036  0.0892  9 Rh 2.96-3.32
Pu  0.4789  0.8097  0.5693  3 Pu 2.38-2.39, 1 Rh 2.53
Pu  0.8580  0.5211  0.4307  3 Pu 2.38-2.39, 1 Rh 2.53
Pu  0.1903  0.8580  0.4307  3 Pu 2.38-2.39, 1 Rh 2.53
Pu  0.6964  0.6964  0.9108  9 Rh 2.96-3.32
Pu  0.1420  0.4789  0.5693  3 Pu 2.38-2.39, 1 Rh 2.53
Pu  0.8097  0.1420  0.5693  3 Pu 2.38-2.39, 1 Rh 2.53
Sn  0.0000  0.0000  0.0000  6 Rh 2.67
Rh  0.7141  0.2758  0.7985  1 Pu 2.53, 1 Sn 2.67, 2 Rh 2.79
Rh  0.2859  0.7242  0.2015  1 Pu 2.53, 1 Sn 2.67, 2 Rh 2.79
Rh  0.7242  0.7884  0.2015  1 Pu 2.53, 1 Sn 2.67, 2 Rh 2.79
Rh  0.7884  0.2859  0.2015  1 Pu 2.53, 1 Sn 2.67, 2 Rh 2.79
Rh  0.2116  0.7141  0.7985  1 Pu 2.53, 1 Sn 2.67, 2 Rh 2.79
Rh  0.2758  0.2116  0.7985  1 Pu 2.53, 1 Sn 2.67, 2 Rh 2.79


No. 7
Density functional theory data (PBE) for BeSiCl2 after structural relaxation.

Results
density of states at the Fermi level: 0.5546 states/eV/atom
E_form (uncorrected): -0.0818 eV/atom
SG: Immm

a b c (Å): 6.9079 6.9079 6.9079
angles (deg): 155.62 126.56 59.57
With the nearest neighbours (Å) after each atom.
Fractional positions:
Si  0.7500  0.2500  0.5000  2 Si 2.92
Be  0.2500  0.7500  0.5000  4 Cl 2.08
Cl  0.3738  0.3738  0.0000  2 Be 2.08
Cl  0.1262  0.1262  0.0000  2 Be 2.08


No. 8
Density functional theory data (PBE) for PmEuSb2 after structural relaxation.

Results
density of states at the Fermi level: 1.4409 states/eV/atom
E_form (uncorrected): -0.9049 eV/atom
SG: P4/mmm

a b c (Å): 3.4209 5.8523 5.8523
angles (deg): 90.00 90.00 90.00
With the nearest neighbours (Å) after each atom.
Fractional positions:
Sb  0.0000  0.5000  0.0000  4 Pm 3.39, 4 Eu 3.39, 2 Sb 3.42
Sb  0.0000  0.0000  0.5000  4 Pm 3.39, 4 Eu 3.39, 2 Sb 3.42
Pm  0.5000  0.0000  0.0000  8 Sb 3.39, 2 Pm 3.42
Eu  0.5000  0.5000  0.5000  8 Sb 3.39, 2 Eu 3.42


No. 9
Density functional theory data (PBE) for Pa2CoPb after structural relaxation.

Results
density of states at the Fermi level: 1.3851 states/eV/atom
SG: P4/mmm
energy of formation: -0.11 eV per atom

a b c (Å): 3.2370 3.2370 8.4960
angles (deg): 90.00 90.00 90.00
With the nearest neighbours (Å) after each atom.
Fractional positions:
Pa  0.0000  0.0000  0.8026  4 Co 2.84
Pa  0.0000  0.0000  0.1974  4 Co 2.84
Pb  0.5000  0.5000  0.5000  4 Pb 3.24, 8 Pa 3.44
Co  0.5000  0.5000  0.0000  8 Pa 2.84


No. 10
Density functional theory data (PBE) for NaAg2Br2 after structural relaxation.

Results
density of states at the Fermi level: 0.6504 states/eV/atom
E_form (uncorrected): -0.3310 eV/atom
SG: I4/mmm

a b c (Å): 5.3320 5.3320 6.1978
angles (deg): 64.52 64.52 90.00
With the nearest neighbours (Å) after each atom.
Fractional positions:
Br  0.2500  0.7500  0.5000  4 Ag 2.89
Br  0.7500  0.2500  0.5000  4 Ag 2.89
Ag  0.6375  0.6375  0.7250  1 Ag 2.71, 4 Br 2.89
Ag  0.3625  0.3625  0.2750  1 Ag 2.71, 4 Br 2.89
Na  0.0000  0.0000  0.0000  2 Ag 3.57, 8 Br 3.63


No. 11
Density functional theory data (PBE) for CsRb after structural relaxation.

Results
density of states at the Fermi level: 1.0115 states/eV/atom
SG: P4/m
energy of formation: 0.04 eV per atom

a b c (Å): 18.4132 18.4132 5.0096
angles (deg): 90.00 90.00 90.00
With the nearest neighbours (Å) after each atom.
Fractional positions:
Cs  0.1664  0.1142  0.0000  4 Rb 4.86-5.22, 4 Cs 5.01-5.26
Cs  0.1142  0.8336  0.0000  4 Rb 4.86-5.22, 4 Cs 5.01-5.26
Cs  0.6682  0.6118  0.5000  4 Rb 4.85-5.24, 4 Cs 5.01-5.26
Cs  0.8336  0.8858  0.0000  4 Rb 4.86-5.22, 4 Cs 5.01-5.26
Cs  0.3882  0.6682  0.5000  4 Rb 4.85-5.24, 4 Cs 5.01-5.26
Cs  0.6118  0.3318  0.5000  4 Rb 4.85-5.24, 4 Cs 5.01-5.26
Cs  0.3318  0.3882  0.5000  4 Rb 4.85-5.24, 4 Cs 5.01-5.26
Cs  0.8858  0.1664  0.0000  4 Rb 4.86-5.22, 4 Cs 5.01-5.26
Rb  0.1380  0.5859  0.5000  4 Cs 4.85-5.22, 6 Rb 4.87-5.01
Rb  0.0831  0.3648  0.0000  4 Cs 4.86-5.24, 6 Rb 4.87-5.01
Rb  0.4141  0.1380  0.5000  4 Cs 4.85-5.22, 6 Rb 4.87-5.01
Rb  0.5859  0.8620  0.5000  4 Cs 4.85-5.22, 6 Rb 4.87-5.01
Rb  0.3648  0.9169  0.0000  4 Cs 4.86-5.24, 6 Rb 4.87-5.01
Rb  0.8620  0.4141  0.5000  4 Cs 4.85-5.22, 6 Rb 4.87-5.01
Rb  0.6352  0.0831  0.0000  4 Cs 4.86-5.24, 6 Rb 4.87-5.01
Rb  0.9169  0.6352  0.0000  4 Cs 4.86-5.24, 6 Rb 4.87-5.01


No. 12
Density functional theory data (PBE) for CsIn2CoHg after structural relaxation.

Results
density of states at the Fermi level: 0.2713 states/eV/atom
SG: P4/mmm
energy of formation: -0.01 eV per atom

a b c (Å): 5.0937 5.0937 5.4134
angles (deg): 90.00 90.00 90.00
With the nearest neighbours (Å) after each atom.
Fractional positions:
Co  0.0000  0.0000  0.0000  4 In 2.55, 2 Hg 2.71
In  0.0000  0.5000  0.0000  2 Co 2.55
In  0.5000  0.0000  0.0000  2 Co 2.55
Hg  0.0000  0.0000  0.5000  2 Co 2.71
Cs  0.5000  0.5000  0.5000  4 Hg 3.60, 8 In 3.72


Number 1: raw total energy -3.79 eV per atom. Number 2: raw total energy -3.78 eV per atom. Number 3: raw total energy -6.24 eV per atom. Number 4: raw total energy -7.57 eV per atom. Number 5: raw total energy -6.58 eV per atom. Number 6: raw total energy -11.05 eV per atom. Number 7: raw total energy -3.29 eV per atom. Number 8: raw total energy -6.72 eV per atom. Number 9: raw total energy -7.57 eV per atom. Number 10: raw total energy -2.40 eV per atom. Number 11: raw total energy -0.87 eV per atom. Number 12: raw total energy -2.75 eV per atom.